The following is a DFT calculation (GGA-PBE) of a relaxed Tb7CdIn4 crystal.

crystal system: monoclinic
E: -3.83 eV per atom
mass density: 7681 kg/m3
ΔH_f (0 K): -138 meV per atom

abc: 14.426 5.690 11.140
angles: 90.00 127.21 90.00
Space group C2/m (No. 12)
Symmetry-distinct sites (fractional):
Tb 0.000 0.000 0.000 x2
Tb 0.069 0.500 0.331 x4
Tb 0.164 0.000 0.600 x4
Tb 0.217 0.500 0.871 x4
Cd 0.000 0.500 0.000 x2
In 0.063 0.000 0.774 x4
In 0.201 0.000 0.339 x4

The following is a DFT calculation (GGA-PBE) of a relaxed CaNd2Cu3Ge4 crystal.

crystal system: tetragonal
E: -4.68 eV per atom
mass density: 6626 kg/m3
ΔH_f (0 K): -454 meV per atom

abc: 4.300 4.300 10.976
angles: 90.00 90.00 90.00
Space group P-4m2 (No. 115)
Symmetry-distinct sites (fractional):
Ca 0.000 0.000 0.000 x1
Nd 0.000 0.500 0.724 x2
Cu 0.000 0.500 0.385 x2
Cu 0.500 0.500 0.000 x1
Ge 0.000 0.000 0.500 x1
Ge 0.000 0.500 0.166 x2
Ge 0.500 0.500 0.500 x1

The following is a DFT calculation (GGA-PBE) of a relaxed NbInW2C crystal.

crystal system: tetragonal
E: -9.37 eV per atom
mass density: 12462 kg/m3
ΔH_f (0 K): 221 meV per atom

abc: 4.201 4.201 4.435
angles: 90.00 90.00 90.00
Space group P4/mmm (No. 123)
Symmetry-distinct sites (fractional):
Nb 0.000 0.000 0.000 x1
In 0.500 0.500 0.000 x1
W 0.000 0.500 0.500 x2
C 0.000 0.000 0.500 x1

The following is a DFT calculation (GGA-PBE) of a relaxed PuZnNiPt crystal.

crystal system: cubic
E: -7.19 eV per atom
mass density: 13397 kg/m3
ΔH_f (0 K): -330 meV per atom

abc: 6.536 6.536 6.536
angles: 90.00 90.00 90.00
Space group F-43m (No. 216)
Symmetry-distinct sites (fractional):
Pu 0.000 0.000 0.000 x4
Zn 0.000 0.000 0.500 x4
Ni 0.250 0.250 0.250 x4
Pt 0.250 0.250 0.750 x4

Number 1: magnetic moment 0.056 μB per atom. Number 2: magnetic moment 0.000 μB per atom. Number 3: magnetic moment 0.000 μB per atom. Number 4: magnetic moment 1.170 μB per atom.